The following is a DFT calculation (PBE-GGA) of Pr4SmDy4 after structural relaxation.

Unit cell a=8.1172 b=8.1172 c=8.1172 alpha=95.72 beta=95.72 gamma=143.19
Fractional positions:
Pr (0.1671, 0.1671, 0.3342)
Pr (0.1671, 0.8329, 0.0000)
Pr (0.8329, 0.1671, 0.0000)
Pr (0.8329, 0.8329, 0.6658)
Sm (0.5000, 0.5000, 0.0000)
Dy (0.1641, 0.5000, 0.6641)
Dy (0.5000, 0.1641, 0.6641)
Dy (0.5000, 0.8359, 0.3359)
Dy (0.8359, 0.5000, 0.3359)

=====

The following is a DFT calculation (PBE-GGA) of Pr5Sm2Dy3 after structural relaxation.

Unit cell a=12.5868 b=12.5868 c=12.5868 alpha=135.67 beta=55.59 gamma=148.18
Fractional positions:
Pr (0.0039, 0.7500, 0.2539)
Pr (0.1277, 0.0972, 0.2248)
Pr (0.2500, 0.2500, 0.0000)
Pr (0.3723, 0.5972, 0.9695)
Pr (0.4961, 0.7500, 0.7461)
Pr (0.5039, 0.2500, 0.2539)
Pr (0.6277, 0.4028, 0.0305)
Pr (0.7500, 0.7500, 0.0000)
Pr (0.8723, 0.9028, 0.7752)
Pr (0.9961, 0.2500, 0.7461)
Sm (0.1204, 0.4051, 0.5256)
Sm (0.3796, 0.9051, 0.2847)
Sm (0.6204, 0.0949, 0.7153)
Sm (0.8796, 0.5949, 0.4744)
Dy (0.1185, 0.7462, 0.8647)
Dy (0.2500, 0.7500, 0.5000)
Dy (0.3815, 0.2462, 0.6277)
Dy (0.6185, 0.7538, 0.3723)
Dy (0.7500, 0.2500, 0.5000)
Dy (0.8815, 0.2538, 0.1353)

=====

Number 1: excess energy over the best structure of this formula in the dataset 3 meV per atom, calculated formation energy 0.2 eV per formula unit, total moment 0.000 μB per formula unit. Number 2: excess energy over the best structure of this formula in the dataset 181 meV per atom, calculated formation energy 3.6 eV per formula unit, total moment 0.000 μB per formula unit.